A plane-wave DFT calculation with GGA-PBE was carried out for crystalline Sr4TaSb at its relaxed geometry.

Output
Total moment (Bohr magnetons per cell): 15.3
Uncorrected energy (eV/atom): -2.9149
Calculated volume (Å³ per atom): 36.80

abc: 9.595 9.595 9.595
angles: 90.00 90.00 90.00
Space group F-43m (No. 216)
Inequivalent atoms, fractional coordinates:
Sr (0.125, 0.125, 0.125) x16
Ta (0.250, 0.250, 0.750) x4
Sb (0.000, 0.000, 0.500) x4